Pa2SnSe5 | Alexandria via LeMat-Bulk | PBE | optimized geometry; volume = 25.0 A^3/atom; ΔE_f (raw) = -8.47 eV/f.u.; E_tot = -6.111 eV per atom
1.0
3.987 0.000 0.000
0.000 7.943 0.000
0.000 0.000 12.620
Pa Se Sn
4 10 2
Direct
0.500 0.482 0.822 Pa
0.500 0.518 0.178 Pa
0.500 0.018 0.322 Pa
0.500 0.982 0.678 Pa
0.500 0.169 0.116 Se
0.500 0.331 0.616 Se
0.000 0.500 0.000 Se
0.500 0.669 0.384 Se
0.000 0.814 0.197 Se
0.000 0.314 0.303 Se
0.000 0.686 0.697 Se
0.000 0.000 0.500 Se
0.000 0.186 0.803 Se
0.500 0.831 0.884 Se
0.000 0.000 0.000 Sn
0.000 0.500 0.500 Sn


Tb2PmCuSe5 | Alexandria via LeMat-Bulk | PBE | optimized geometry; volume = 24.2 A^3/atom; ΔE_f (raw) = -13.75 eV/f.u.; E_tot = -5.475 eV per atom
1.0
4.001 0.000 0.000
-2.001 9.182 0.000
0.000 0.000 11.846
Cu Pm Se Tb
2 2 10 4
Direct
0.565 0.131 0.954 Cu
0.435 0.869 0.454 Cu
0.807 0.614 0.510 Pm
0.193 0.386 0.010 Pm
0.042 0.084 0.064 Se
0.295 0.591 0.689 Se
0.642 0.283 0.502 Se
0.676 0.353 0.834 Se
0.958 0.916 0.564 Se
0.502 0.004 0.280 Se
0.498 0.996 0.780 Se
0.705 0.409 0.189 Se
0.324 0.647 0.334 Se
0.358 0.717 0.002 Se
0.886 0.772 0.808 Tb
0.114 0.228 0.308 Tb
0.900 0.800 0.183 Tb
0.100 0.200 0.683 Tb


Sr2AcAgTe4 | Alexandria via LeMat-Bulk | PBE | optimized geometry; volume = 36.3 A^3/atom; ΔE_f (raw) = -10.38 eV/f.u.; E_tot = -4.159 eV per atom
1.0
-3.180 1.653 -3.058
-5.996 -3.436 4.378
-2.668 5.149 5.557
Te Ag Sr Ac
4 1 2 1
Direct
0.000 0.267 0.235 Te
0.500 0.749 0.249 Te
0.500 0.251 0.751 Te
0.000 0.733 0.765 Te
0.500 0.500 0.000 Ag
0.000 0.000 0.000 Sr
0.500 0.000 0.500 Sr
0.000 0.500 0.500 Ac


CaPm2Sb3Rh4 | Alexandria via LeMat-Bulk | PBE | optimized geometry; volume = 21.9 A^3/atom; ΔE_f (raw) = -7.77 eV/f.u.; E_tot = -6.105 eV per atom
1.0
4.347 0.000 0.000
0.000 4.347 0.000
0.000 0.000 11.580
Sb Rh Ca Pm
3 4 1 2
Direct
0.500 0.000 0.871 Sb
0.000 0.500 0.129 Sb
0.000 0.000 0.500 Sb
0.500 0.500 0.000 Rh
0.000 0.000 0.000 Rh
0.000 0.500 0.349 Rh
0.500 0.000 0.651 Rh
0.500 0.500 0.500 Ca
0.500 0.000 0.234 Pm
0.000 0.500 0.766 Pm


Na2AgWS4 | Alexandria via LeMat-Bulk | PBE | optimized geometry; volume = 26.5 A^3/atom; ΔE_f (raw) = -4.95 eV/f.u.; E_tot = -4.988 eV per atom
1.0
-5.232 -2.755 -3.794
6.006 -3.115 1.891
0.143 1.063 6.943
S Ag W Na
4 1 1 2
Direct
0.028 0.187 0.609 S
0.421 0.841 0.813 S
0.579 0.391 0.419 S
0.972 0.581 0.159 S
0.500 0.250 0.750 Ag
0.000 0.500 0.500 W
0.000 0.000 0.000 Na
0.500 0.750 0.250 Na


Zn5Cu2Ag | Alexandria via LeMat-Bulk | PBE | optimized geometry; volume = 14.8 A^3/atom; E_tot = -2.141 eV per atom
1.0
-3.006 -5.991 -0.203
5.206 -2.721 3.236
-3.440 5.374 3.103
Zn Cu Ag
10 4 2
Direct
0.994 0.494 0.689 Zn
0.194 0.994 0.689 Zn
0.506 0.306 0.311 Zn
0.694 0.194 0.689 Zn
0.000 0.000 0.000 Zn
0.806 0.006 0.311 Zn
0.494 0.694 0.689 Zn
0.006 0.506 0.311 Zn
0.500 0.500 0.000 Zn
0.306 0.806 0.311 Zn
0.860 0.640 0.000 Cu
0.640 0.140 0.000 Cu
0.140 0.360 0.000 Cu
0.360 0.860 0.000 Cu
0.750 0.750 0.500 Ag
0.250 0.250 0.500 Ag


- The highest volume belongs to which entry?
  Sr2AcAgTe4


- Which value of E_tot does entry 1 give?
  -6.111 eV per atom